CoSeO3: relaxed, PBE+U.

Cell lengths 5.897, 7.537, 5.030 Å; angles 90.00, 90.00, 90.00 degrees
Positions (direct):
1 Co 0.000 0.000 0.000
2 Co 0.000 0.500 0.000
3 Co 0.500 0.000 0.500
4 Co 0.500 0.500 0.500
5 Se 0.015 0.250 0.482
6 Se 0.485 0.750 0.982
7 Se 0.515 0.250 0.018
8 Se 0.985 0.750 0.518
9 O 0.070 0.250 0.824
10 O 0.182 0.074 0.360
11 O 0.182 0.426 0.360
12 O 0.318 0.574 0.860
13 O 0.318 0.926 0.860
14 O 0.430 0.750 0.324
15 O 0.570 0.250 0.676
16 O 0.682 0.074 0.140
17 O 0.682 0.426 0.140
18 O 0.818 0.574 0.640
19 O 0.818 0.926 0.640
20 O 0.930 0.750 0.176

Total DFT energy (no corrections) ... -5.387 eV per atom